Compound: TmGaNi
Source: Alexandria
Functional: PBE-GGA
Structure: optimized geometry

a b c (Å): 4.148 4.148 6.426
angles (deg): 90.00 90.00 90.00
Space group P4/nmm (No. 129, origin choice 2)
Symmetry-distinct sites (fractional):
Tm  0.250  0.250  0.189 x2
Ga  0.250  0.250  0.707 x2
Ni  0.250  0.750  0.500 x2

Results
DOS(E_F), states/eV per atom: 0.78
Volume, Å³ per cell: 110.6
Electronic total energy, eV per atom: -5.02
Formation enthalpy at 0 K, eV per atom: -0.60

Compound: Sm4Ga12Co
Source: Alexandria
Functional: PBE-GGA
Structure: optimized geometry

a b c (Å): 8.679 8.679 8.679
angles (deg): 90.00 90.00 90.00
Space group Im-3m (No. 229)
Symmetry-distinct sites (fractional):
Sm  0.250  0.250  0.250 x8
Ga  0.000  0.000  0.282 x12
Ga  0.000  0.250  0.500 x12
Co  0.000  0.000  0.000 x2

Results
DOS(E_F), states/eV per atom: 0.53
Volume, Å³ per cell: 653.8
Electronic total energy, eV per atom: -4.23
Formation enthalpy at 0 K, eV per atom: -0.56

Which formula does entry 2 have? Sm4Ga12Co